A relaxed ReAgOs2 crystal. Source: Alexandria, functional PBE.

Calculated values
space-group type	No. 122
E_form	1.01	eV per atom
offset from the most stable computed form	749	meV/atom
final energy	-8.43	eV per atom
volume	70.4	Å³/f.u.

Cell and atoms, written as CIF:
```
data_ReAgOs2
_chemical_formula_sum 'Re2 Ag2 Os4'
_symmetry_space_group_name_H-M 'P 1'
_symmetry_Int_Tables_number 1
_cell_length_a 7.2655
_cell_length_b 7.2655
_cell_length_c 5.7889
_cell_angle_alpha 51.13
_cell_angle_beta 51.13
_cell_angle_gamma 90.00
loop_
_symmetry_equiv_pos_as_xyz
'x,y,z'
loop_
_atom_site_label
_atom_site_type_symbol
_atom_site_fract_x
_atom_site_fract_y
_atom_site_fract_z
Os1 Os 0.8750 0.9246 0.7500
Os2 Os 0.0754 0.6250 0.2500
Os3 Os 0.6746 0.1250 0.2500
Os4 Os 0.3750 0.3254 0.7500
Ag1 Ag 0.2500 0.7500 0.5000
Ag2 Ag 0.5000 0.5000 0.0000
Re1 Re 0.0000 0.0000 0.0000
Re2 Re 0.7500 0.2500 0.5000
```

***

A relaxed Cu2Pd5Pt crystal. Source: Alexandria, functional PBE.

Calculated values
space-group type	No. 55
E_form	-0.07	eV per atom
final energy	-5.09	eV per atom
volume	117.5	Å³/f.u.

Cell and atoms, written as CIF:
```
data_Cu2Pd5Pt
_chemical_formula_sum 'Cu4 Pd10 Pt2'
_symmetry_space_group_name_H-M 'P 1'
_symmetry_Int_Tables_number 1
_cell_length_a 3.8467
_cell_length_b 5.5293
_cell_length_c 11.0444
_cell_angle_alpha 90.00
_cell_angle_beta 90.00
_cell_angle_gamma 90.00
loop_
_symmetry_equiv_pos_as_xyz
'x,y,z'
loop_
_atom_site_label
_atom_site_type_symbol
_atom_site_fract_x
_atom_site_fract_y
_atom_site_fract_z
Pd1 Pd 0.0000 0.9961 0.2505
Pd2 Pd 0.0000 0.5000 0.5000
Pd3 Pd 0.0000 0.0039 0.7495
Pd4 Pd 0.0000 0.4961 0.2495
Pd5 Pd 0.0000 0.5039 0.7505
Pd6 Pd 0.5000 0.7478 0.1245
Pd7 Pd 0.5000 0.7522 0.6245
Pd8 Pd 0.0000 0.0000 0.0000
Pd9 Pd 0.5000 0.2478 0.3755
Pd10 Pd 0.5000 0.2522 0.8755
Cu1 Cu 0.5000 0.2511 0.6247
Cu2 Cu 0.5000 0.7511 0.8753
Cu3 Cu 0.5000 0.7489 0.3753
Cu4 Cu 0.5000 0.2489 0.1247
Pt1 Pt 0.0000 0.0000 0.5000
Pt2 Pt 0.0000 0.5000 0.0000
```

***

A relaxed PuHI2 crystal. Source: Alexandria, functional PBE.

Calculated values
space-group type	No. 160
final energy	-6.10	eV per atom
volume	114.6	Å³/f.u.

Cell and atoms, written as CIF:
```
data_PuHI2
_chemical_formula_sum 'Pu1 H1 I2'
_symmetry_space_group_name_H-M 'P 1'
_symmetry_Int_Tables_number 1
_cell_length_a 4.0374
_cell_length_b 4.0374
_cell_length_c 8.4468
_cell_angle_alpha 90.02
_cell_angle_beta 103.81
_cell_angle_gamma 120.00
loop_
_symmetry_equiv_pos_as_xyz
'x,y,z'
loop_
_atom_site_label
_atom_site_type_symbol
_atom_site_fract_x
_atom_site_fract_y
_atom_site_fract_z
H1 H 0.0417 0.2709 0.3126
Pu1 Pu 0.7083 0.6041 0.3124
I1 I 0.1991 0.8494 0.0485
I2 I 0.5509 0.0256 0.5765
```

***

A relaxed BeAlPdO2 crystal. Source: Alexandria, functional PBE.

Calculated values
space-group type	No. 123
final energy	-5.00	eV per atom
volume	66.6	Å³/f.u.

Cell and atoms, written as CIF:
```
data_BeAlPdO2
_chemical_formula_sum 'Be1 Al1 Pd1 O2'
_symmetry_space_group_name_H-M 'P 1'
_symmetry_Int_Tables_number 1
_cell_length_a 3.3610
_cell_length_b 5.8921
_cell_length_c 3.3610
_cell_angle_alpha 90.00
_cell_angle_beta 90.00
_cell_angle_gamma 90.00
loop_
_symmetry_equiv_pos_as_xyz
'x,y,z'
loop_
_atom_site_label
_atom_site_type_symbol
_atom_site_fract_x
_atom_site_fract_y
_atom_site_fract_z
Pd1 Pd 0.5000 0.5000 0.5000
Be1 Be 0.0000 0.0000 0.0000
Al1 Al 0.0000 0.5000 0.0000
O1 O 0.5000 0.0000 0.0000
O2 O 0.0000 0.0000 0.5000
```

***

A relaxed PuZrZnTc crystal. Source: Alexandria, functional PBE.

Calculated values
space-group type	No. 216
E_form	-0.04	eV per atom
final energy	-8.67	eV per atom
volume	77.9	Å³/f.u.

Cell and atoms, written as CIF:
```
data_PuZrZnTc
_chemical_formula_sum 'Pu1 Zr1 Zn1 Tc1'
_symmetry_space_group_name_H-M 'P 1'
_symmetry_Int_Tables_number 1
_cell_length_a 4.7938
_cell_length_b 4.7938
_cell_length_c 4.7938
_cell_angle_alpha 60.00
_cell_angle_beta 60.00
_cell_angle_gamma 60.00
loop_
_symmetry_equiv_pos_as_xyz
'x,y,z'
loop_
_atom_site_label
_atom_site_type_symbol
_atom_site_fract_x
_atom_site_fract_y
_atom_site_fract_z
Pu1 Pu 0.5000 0.5000 0.5000
Tc1 Tc 0.2500 0.2500 0.2500
Zr1 Zr 0.0000 0.0000 0.0000
Zn1 Zn 0.7500 0.7500 0.7500
```

***

A relaxed Rb2TcO3 crystal. Source: Alexandria, functional PBE.

Calculated values
space-group type	No. 15
final energy	-5.90	eV per atom
volume	119.4	Å³/f.u.

Cell and atoms, written as CIF:
```
data_Rb2TcO3
_chemical_formula_sum 'Rb8 Tc4 O12'
_symmetry_space_group_name_H-M 'P 1'
_symmetry_Int_Tables_number 1
_cell_length_a 5.6224
_cell_length_b 6.9361
_cell_length_c 13.4823
_cell_angle_alpha 87.34
_cell_angle_beta 83.42
_cell_angle_gamma 66.09
loop_
_symmetry_equiv_pos_as_xyz
'x,y,z'
loop_
_atom_site_label
_atom_site_type_symbol
_atom_site_fract_x
_atom_site_fract_y
_atom_site_fract_z
O1 O 0.9947 0.0106 0.7500
O2 O 0.8583 0.7090 0.6525
O3 O 0.5673 0.2910 0.1525
O4 O 0.0053 0.9894 0.2500
O5 O 0.6525 0.1500 0.5679
O6 O 0.4327 0.7090 0.8475
O7 O 0.3834 0.2332 0.7500
O8 O 0.3475 0.8500 0.4321
O9 O 0.6166 0.7668 0.2500
O10 O 0.1417 0.2910 0.3475
O11 O 0.1975 0.1500 0.9321
O12 O 0.8025 0.8500 0.0679
Tc1 Tc 0.7012 0.9926 0.6840
Tc2 Tc 0.2988 0.0074 0.3160
Tc3 Tc 0.6938 0.0074 0.1840
Tc4 Tc 0.3062 0.9926 0.8160
Rb1 Rb 0.6558 0.2264 0.9299
Rb2 Rb 0.4203 0.5932 0.6424
Rb3 Rb 0.0136 0.4068 0.1424
Rb4 Rb 0.3442 0.7736 0.0701
Rb5 Rb 0.9864 0.5932 0.8576
Rb6 Rb 0.8822 0.7736 0.4299
Rb7 Rb 0.1178 0.2264 0.5701
Rb8 Rb 0.5797 0.4068 0.3576
```